Record 1
Here is Mn2InFe after structural relaxation from Alexandria. Energies are from GGA-PBE.

Structure (POSCAR):
```
Mn2InFe
1.0
3.9819 0.0000 0.0000
0.0000 3.9782 0.0000
0.0000 0.0000 3.7899
Mn In Fe
2 1 1
Cartesian
0.0000 0.0000 0.0000
1.9910 1.9891 0.0000
0.0000 1.9891 1.8950
1.9910 0.0000 1.8950
```

For the density, the calculation gives 7.76 g/cm3. The energy of formation from the pure elements is 259 meV per atom. As for the density of states at the Fermi level: 3.8 states/eV/cell. The space-group type is P4/mmm (123).

Record 2
Here is K2VPbSe4 after structural relaxation from Alexandria. Energies are from GGA-PBE.

Structure (POSCAR):
```
K2VPbSe4
1.0
-2.8429 -6.4690 0.3260
4.8137 -5.9396 0.8582
-2.3329 -2.2238 12.2710
K Pb Se V
4 2 8 2
Cartesian
-1.2364 -8.5513 11.3871
-3.1875 -6.0869 4.9040
-0.5471 -9.3156 2.2311
-1.9883 -2.6059 7.6930
0.0000 0.0000 0.0000
-0.8918 -8.9335 6.8091
-0.5967 -11.3187 8.3685
1.3181 -7.6349 5.5290
2.6039 -7.2382 2.1383
-1.3858 -6.3276 7.8925
-0.8320 -4.9498 1.6886
-0.0598 -3.9836 5.1205
-1.8390 -4.8297 11.1877
-0.6571 -12.2471 11.8958
0.5297 -5.6989 6.6461
-1.4214 -3.2345 0.1630
```

For the density, the calculation gives 3.68 g/cm3. The uncorrected formation energy comes out at -0.7446 eV per atom. As for the density of states at the Fermi level: 8.6 states/eV/cell. The space-group type is Fddd (70).

Record 3
Here is MnVFeNi after structural relaxation from Alexandria. Energies are from GGA-PBE.

Structure (POSCAR):
```
MnVFeNi
1.0
-2.3077 0.6930 3.2777
-2.3535 -2.9628 1.4938
0.9368 -1.7455 3.5531
Fe Mn Ni V
1 1 1 1
Cartesian
-2.7933 -3.0115 6.2434
-0.9311 -1.0038 2.0811
-1.8622 -2.0077 4.1623
0.0000 0.0000 0.0000
```

For the density, the calculation gives 7.69 g/cm3. The energy of formation from the pure elements is -60 meV per atom. As for the density of states at the Fermi level: 5.0 states/eV/cell. The space-group type is F-43m (216).